Record 1
HoIn6Ni4 | GGA-PBE | optimized geometry

Values from the calculation:
- Electronic total energy: -4.282 eV/atom
- D(E_F): 0.406 states/eV per atom
- Formation energy from the elements: -26.02 kJ per mole of atoms

The structure in extended XYZ format:
```
11
Lattice="5.8064 0.0000 -3.3269 -1.9062 5.4845 -3.3269 0.0103 0.0145 6.7483" Properties=species:S:1:pos:R:3 pbc="T T T"
Ho 1.9501 2.7423 -3.3269
In -0.5440 2.1495 1.4529
In 2.2090 0.1919 1.4529
In 2.3819 3.3495 -0.1710
In -0.9531 2.7423 -1.6634
In 3.7740 5.3071 -2.5460
In 2.9032 0.0000 -1.6634
Ni -0.8784 4.2163 2.9606
Ni 3.5161 4.9445 -5.0873
Ni 4.2710 0.5545 2.9606
Ni 0.9121 1.2827 -0.6448
```

---

Record 2
TcIr2N | GGA-PBE | optimized geometry

Values from the calculation:
- Electronic total energy: -8.348 eV/atom
- Formation energy without anion corrections: 72.86 kJ per mole of atoms
- D(E_F): 0.256 states/eV per atom

The structure in extended XYZ format:
```
8
Lattice="4.9560 0.0000 0.0000 0.0000 4.9560 0.0000 2.4780 2.4780 5.2648" Properties=species:S:1:pos:R:3 pbc="T T T"
Ir 3.3313 1.2390 1.3162
Ir 1.6247 3.7170 1.3162
Ir 3.7170 4.1028 3.9486
Ir 6.1950 5.8093 3.9486
Tc 0.0000 0.0000 0.0000
Tc 4.9560 2.4780 2.6324
N 2.4780 2.4780 0.0000
N 2.4780 4.9560 2.6324
```

---

Record 3
CaMgPt | GGA-PBE | optimized geometry

Values from the calculation:
- Electronic total energy: -3.275 eV/atom
- D(E_F): 0.270 states/eV per atom
- Formation energy from the elements: -6.08 kJ per mole of atoms

The structure in extended XYZ format:
```
3
Lattice="4.7627 0.0000 0.0000 2.3814 4.1247 0.0000 2.3814 1.3749 3.8888" Properties=species:S:1:pos:R:3 pbc="T T T"
Ca 7.1441 4.1247 2.9166
Mg 0.0000 0.0000 0.0000
Pt 4.7627 2.7498 1.9444
```

---

Record 4
LuCrRh2 | GGA-PBE | optimized geometry

Values from the calculation:
- Electronic total energy: -7.634 eV/atom
- Distance to the lowest polymorph of the same formula: 25 meV/atom
- D(E_F): 1.584 states/eV per atom
- Formation energy from the elements: -40.76 kJ per mole of atoms

The structure in extended XYZ format:
```
4
Lattice="4.5296 0.0000 0.0000 2.2648 3.9227 0.0000 2.2648 1.3076 3.6984" Properties=species:S:1:pos:R:3 pbc="T T T"
Cr 0.0000 0.0000 0.0000
Lu 4.5296 2.6151 1.8492
Rh 2.2648 1.3076 0.9246
Rh 6.7943 3.9227 2.7738
```

---

Record 5
Nd2GaNi4Sn3 | GGA-PBE | optimized geometry

Values from the calculation:
- Electronic total energy: -5.311 eV/atom
- D(E_F): 0.757 states/eV per atom
- Formation energy from the elements: -52.27 kJ per mole of atoms

The structure in extended XYZ format:
```
10
Lattice="-4.1714 -1.2930 0.0939 1.0684 -3.6080 -2.2184 1.7145 -4.8931 8.7838" Properties=species:S:1:pos:R:3 pbc="T T T"
Nd -1.6589 -1.8646 2.2337
Nd 1.8219 -5.4790 5.4879
Ga -0.6942 -4.8971 3.3296
Ni -1.5515 -2.4505 -1.0623
Ni 0.0000 0.0000 0.0000
Ni -1.0153 -3.7013 5.5308
Ni 1.1783 -3.6423 2.1908
Sn 0.8572 -2.4466 4.3919
Sn -0.5926 -4.9078 7.6966
Sn 0.7556 -2.4358 0.0249
```

---

Record 6
K4TbY3Se8 | GGA-PBE | optimized geometry

Values from the calculation:
- Electronic total energy: -5.290 eV/atom
- Formation energy without anion corrections: -170.95 kJ per mole of atoms
- D(E_F): 0.000 states/eV per atom

The structure in extended XYZ format:
```
16
Lattice="8.4411 0.0000 0.0000 0.0000 9.0901 0.4513 -4.2205 -4.2179 5.9711" Properties=species:S:1:pos:R:3 pbc="T T T"
K 4.2205 0.0000 0.0000
K 2.1103 -2.1090 2.9855
K 0.0000 0.0000 0.0000
K -2.1103 -2.1090 2.9855
Tb 0.0000 4.5451 0.2257
Y 4.2205 4.5451 0.2257
Y 2.1103 2.4361 3.2112
Y -2.1103 2.4361 3.2112
Se -2.1064 2.3218 6.1114
Se 0.0000 4.4269 3.1313
Se 0.0000 0.4443 3.2957
Se 2.1064 2.3218 6.1114
Se 2.1141 2.5504 0.3109
Se 4.2205 4.4279 3.1266
Se 4.2205 0.4453 3.2911
Se 6.3270 2.5504 0.3109
```

---

Record 7
CrHWAu | GGA-PBE | optimized geometry

Values from the calculation:
- Electronic total energy: -6.992 eV/atom
- Distance to the lowest polymorph of the same formula: 74 meV/atom
- D(E_F): 0.602 states/eV per atom

The structure in extended XYZ format:
```
8
Lattice="-1.6941 -1.7612 -1.3150 1.9057 -0.1160 -2.2996 6.8838 -7.9618 6.1064" Properties=species:S:1:pos:R:3 pbc="T T T"
Cr 3.5092 -6.1485 3.2184
Cr 1.0202 -2.2256 -0.9846
H -0.5320 -3.0794 -0.2855
H 3.8627 -7.1184 1.6179
W -1.2604 -1.4443 -0.9716
W 3.1344 -5.4833 0.9318
Au 2.0056 -2.9712 1.8120
Au 6.4003 -7.0102 3.7154
```

---

Record 8
ErSnHgPt | GGA-PBE | optimized geometry

Values from the calculation:
- Electronic total energy: -4.331 eV/atom
- D(E_F): 0.487 states/eV per atom
- Formation energy from the elements: -58.23 kJ per mole of atoms

The structure in extended XYZ format:
```
4
Lattice="4.9626 0.0000 0.0000 2.4813 4.2978 0.0000 2.4813 1.4326 4.0520" Properties=species:S:1:pos:R:3 pbc="T T T"
Sn 7.4440 4.2978 3.0390
Hg 4.9626 2.8652 2.0260
Pt 0.0000 0.0000 0.0000
Er 2.4813 1.4326 1.0130
```

---

Record 9
CeMgGePd | GGA-PBE | optimized geometry

Values from the calculation:
- Electronic total energy: -4.833 eV/atom
- Distance to the lowest polymorph of the same formula: 95 meV/atom
- D(E_F): 1.500 states/eV per atom
- Formation energy from the elements: -48.06 kJ per mole of atoms

The structure in extended XYZ format:
```
8
Lattice="4.2620 0.0000 0.0000 0.0000 4.2620 0.0000 0.0000 0.0000 10.1168" Properties=species:S:1:pos:R:3 pbc="T T T"
Ce 0.0000 2.1310 8.3458
Ce 2.1310 0.0000 1.7710
Mg 0.0000 0.0000 5.0584
Mg 2.1310 2.1310 5.0584
Ge 2.1310 0.0000 9.0502
Ge 0.0000 2.1310 1.0666
Pd 0.0000 2.1310 3.4874
Pd 2.1310 0.0000 6.6294
```

---

Record 10
Sr2AlIn3Ga4 | GGA-PBE | optimized geometry

Values from the calculation:
- Electronic total energy: -3.047 eV/atom
- D(E_F): 0.357 states/eV per atom
- Formation energy from the elements: -29.37 kJ per mole of atoms

The structure in extended XYZ format:
```
10
Lattice="4.6369 0.0000 0.0000 0.0000 4.6369 0.0000 0.0000 0.0000 11.5480" Properties=species:S:1:pos:R:3 pbc="T T T"
Sr 2.3185 0.0000 2.9119
Sr 0.0000 2.3185 8.6361
Al 2.3185 2.3185 5.7740
In 0.0000 0.0000 5.7740
In 2.3185 0.0000 9.9819
In 0.0000 2.3185 1.5660
Ga 2.3185 2.3185 0.0000
Ga 0.0000 0.0000 0.0000
Ga 2.3185 0.0000 7.2757
Ga 0.0000 2.3185 4.2722
```

---

Record 11
MgNb2TlSn | GGA-PBE | optimized geometry

Values from the calculation:
- Electronic total energy: -3.967 eV/atom
- D(E_F): 1.139 states/eV per atom
- Formation energy from the elements: 159.58 kJ per mole of atoms

The structure in extended XYZ format:
```
5
Lattice="-3.7669 -1.9936 -3.1611 2.0102 -5.0851 0.8117 -3.2006 -0.5964 4.1901" Properties=species:S:1:pos:R:3 pbc="T T T"
Mg -2.4787 -3.8376 0.9203
Tl 0.0000 0.0000 0.0000
Sn 1.0051 -2.5426 0.4059
Nb -1.6003 -0.2982 2.0950
Nb -1.8834 -0.9968 -1.5805
```

---

Record 12
AcLa5AlCd2 | GGA-PBE | optimized geometry

Values from the calculation:
- Electronic total energy: -3.814 eV/atom
- D(E_F): 1.440 states/eV per atom
- Formation energy from the elements: -0.10 kJ per mole of atoms

The structure in extended XYZ format:
```
18
Lattice="7.8743 0.0000 0.0000 0.0000 8.8581 0.0000 0.0000 0.0000 8.8581" Properties=species:S:1:pos:R:3 pbc="T T T"
Ac 0.0000 4.4291 4.4291
Ac 0.0000 0.0000 0.0000
La 3.9371 4.4291 4.4291
La 3.9371 0.0000 0.0000
La 1.8457 1.8017 6.2307
La 1.8457 7.0565 2.6274
La 1.8457 2.6274 1.8017
La 1.8457 6.2307 7.0565
La 6.0286 1.8017 6.2307
La 6.0286 6.2307 7.0565
La 6.0286 7.0565 2.6274
La 6.0286 2.6274 1.8017
Al 0.0000 0.0000 4.4291
Al 0.0000 4.4291 0.0000
Cd 3.9371 5.3913 0.9622
Cd 3.9371 0.9622 3.4668
Cd 3.9371 7.8959 5.3913
Cd 3.9371 3.4668 7.8959
```

---

- The lowest D(E_F) belongs to which entry?
  K4TbY3Se8

---

- The lowest D(E_F) belongs to which entry?
  K4TbY3Se8